VASP calculation (PBE) on an optimized crystal structure of FeNiAg2.

Properties
E above lowest polymorph = 194 meV/atom

Lattice parameters (Å, degrees): 4.389 4.389 4.389 60.00 60.00 60.00
Fractional positions:
Ni 0.750 0.750 0.750
Fe 0.500 0.500 0.500
Ag 0.250 0.250 0.250
Ag 0.000 0.000 0.000

=====

VASP calculation (PBE) on an optimized crystal structure of TbGePt.

Properties
total DFT energy (no corrections) = -6.235 eV/atom

Lattice parameters (Å, degrees): 4.387 7.078 7.650 90.00 90.00 90.00
Fractional positions:
Tb 0.250 0.496 0.204
Tb 0.750 0.004 0.704
Tb 0.750 0.504 0.796
Tb 0.250 0.996 0.296
Ge 0.750 0.189 0.088
Ge 0.250 0.311 0.588
Ge 0.750 0.689 0.412
Ge 0.250 0.811 0.912
Pt 0.250 0.705 0.585
Pt 0.750 0.295 0.415
Pt 0.750 0.795 0.085
Pt 0.250 0.205 0.915

=====

VASP calculation (PBE) on an optimized crystal structure of Ta2Tl2Se5.

Properties
formation energy (no corrections) = -454.5 meV per atom

Lattice parameters (Å, degrees): 5.161 7.139 8.099 104.46 90.00 111.19
Fractional positions:
Se 0.156 0.312 0.606
Se 0.000 0.000 0.000
Se 0.352 0.703 0.100
Se 0.844 0.688 0.394
Se 0.648 0.297 0.900
Ta 0.831 0.662 0.088
Ta 0.169 0.338 0.912
Tl 0.393 0.785 0.638
Tl 0.607 0.215 0.362

=====

VASP calculation (PBE) on an optimized crystal structure of Al4GaRu5.

Properties
total DFT energy (no corrections) = -7.028 eV/atom

Lattice parameters (Å, degrees): 3.011 3.011 15.060 90.00 90.00 90.00
Fractional positions:
Al 0.000 0.000 0.202
Al 0.000 0.000 0.600
Al 0.000 0.000 0.798
Al 0.000 0.000 0.400
Ru 0.500 0.500 0.699
Ru 0.500 0.500 0.301
Ru 0.500 0.500 0.101
Ru 0.500 0.500 0.500
Ru 0.500 0.500 0.899
Ga 0.000 0.000 0.000